Computed, not measured: an optimized crystal structure of AlTl2Ni at the PBEsol level of DFT.

The structure in CIF format:
```
data_AlTl2Ni
_symmetry_space_group_name_H-M 'I 4/m m m'
_symmetry_Int_Tables_number 139
_symmetry_space_group_name_Hall '-I 4 2'
_cell_length_a 4.366
_cell_length_b 4.366
_cell_length_c 8.094
_cell_angle_alpha 90.00
_cell_angle_beta 90.00
_cell_angle_gamma 90.00
loop_
_atom_site_label
_atom_site_fract_x
_atom_site_fract_y
_atom_site_fract_z
Al1 0.000 0.000 0.000
Tl1 0.000 0.500 0.250
Ni1 0.000 0.000 0.500
```

Summary:
**Uncorrected energy**: -27.836 eV per cell